Entry 1:
Below is a geometry-optimized RuPbO3 structure, with properties calculated at the GGA-PBE level.

Cell: 3.9707 3.9707 3.9707 Å, 90.00 90.00 90.00°
Atoms (fractional coordinates):
Ru 0.0000 0.0000 0.0000
Pb 0.5000 0.5000 0.5000
O 0.0000 0.0000 0.5000
O 0.0000 0.5000 0.0000
O 0.5000 0.0000 0.0000

Calculated values
* calculated volume: 62.6 Å³ per cell
* raw formation energy: -0.878 eV per atom

***

Entry 2:
Below is a geometry-optimized Ru4Pb4O13 structure, with properties calculated at the GGA-PBE level.

Cell: 7.3377 7.3377 7.3377 Å, 60.00 60.00 60.00°
Atoms (fractional coordinates):
Ru 0.1251 0.1251 0.1251
Ru 0.1251 0.1251 0.6248
Ru 0.1251 0.6248 0.1251
Ru 0.6248 0.1251 0.1251
Pb 0.1302 0.6233 0.6233
Pb 0.6233 0.1302 0.6233
Pb 0.6233 0.6233 0.1302
Pb 0.6233 0.6233 0.6233
O 0.0512 0.0512 0.4488
O 0.0512 0.4488 0.0512
O 0.0512 0.4488 0.4488
O 0.1960 0.1960 0.8040
O 0.1960 0.8040 0.1960
O 0.1960 0.8040 0.8040
O 0.4488 0.0512 0.0512
O 0.4488 0.0512 0.4488
O 0.4488 0.4488 0.0512
O 0.7500 0.7500 0.7500
O 0.8040 0.1960 0.1960
O 0.8040 0.1960 0.8040
O 0.8040 0.8040 0.1960

Calculated values
* calculated volume: 279.4 Å³ per cell
* raw formation energy: -1.082 eV per atom

***

Electronic total energy per entry: -6.450; -6.624 eV/atom